First-principles (GGA+U) data for a geometry-optimized V3ReO structure, as listed in Alexandria via LeMat-Bulk. Values from VASP.

Output
V: 13.9 A^3/atom
Fermi-level density of states: 0.389 states/eV/atom
Total energy: -7.75 eV per atom
Symmetry: Pm-3m, No. 221
Offset from the most stable computed form: 0 meV/atom

```
&SYSTEM
  ibrav = 0, nat = 5, ntyp = 3
/
ATOMIC_SPECIES
Re 186.21 Re.upf
O 16.00 O.upf
V 50.94 V.upf
CELL_PARAMETERS angstrom
-3.842 -1.247 -0.763
-0.195 -1.689 3.742
-1.449 3.534 1.520
ATOMIC_POSITIONS angstrom
Re -2.743 0.299 2.249
O 0.000 0.000 0.000
V -0.097 -0.845 1.871
V -0.724 1.767 0.760
V -1.921 -0.623 -0.381
```